Cs2CeWO6: relaxed, PBE+U.

```
10
Lattice="-5.689 -0.849 -0.783 0.773 -5.724 0.591 1.564 3.781 6.055" Properties=species:S:1:pos:R:3 pbc="T T T"
Cs -3.366 -0.140 3.081
Cs -0.135 -2.578 3.768
Ce -2.523 -3.253 0.340
W -0.058 0.030 0.390
O -2.220 -1.308 5.809
O -2.811 -3.094 2.256
O 0.461 2.275 5.915
O -2.641 1.813 5.488
O -0.325 0.178 2.169
O 0.882 -0.845 6.237
```

Mass density ... 5.6 g/cm3
Space group ... I4mm
DFT total energy ... -6.80 eV per atom